1.
{
  "formula": "YMg2In3",
  "functional": "PBE",
  "state": "optimized geometry",
  "cell": [[2.288, -7.015, 0.000], [2.288, 7.015, 0.000], [0.000, 0.000, 4.480]],
  "species": ["Y", "Mg", "Mg", "In", "In", "In"],
  "fractional_positions": [[0.000, 0.000, 0.000], [0.328, 0.672, 0.000], [0.672, 0.328, 0.000], [0.170, 0.830, 0.500], [0.500, 0.500, 0.500], [0.830, 0.170, 0.500]],
  "space_group": "No. 65",
  "magnetic_moment_mub_per_fu": 0.000,
  "dos_at_fermi_per_ev_cell": 3.185
}

2.
{
  "formula": "TbZnNi3",
  "functional": "PBE",
  "state": "optimized geometry",
  "cell": [[5.409, 0.000, 0.000], [0.000, 7.139, 0.000], [0.000, 0.000, 4.404]],
  "species": ["Tb", "Tb", "Zn", "Zn", "Ni", "Ni", "Ni", "Ni", "Ni", "Ni"],
  "fractional_positions": [[0.000, 0.000, 0.000], [0.500, 0.500, 0.000], [0.000, 0.500, 0.500], [0.500, 0.000, 0.500], [0.000, 0.500, 0.000], [0.248, 0.249, 0.500], [0.252, 0.749, 0.500], [0.500, 0.000, 0.000], [0.748, 0.251, 0.500], [0.752, 0.751, 0.500]],
  "space_group": "No. 55",
  "magnetic_moment_mub_per_fu": 0.000,
  "dos_at_fermi_per_ev_cell": 6.947
}

Number 1: energy relative to the elements -0.2941 eV/atom. Number 2: energy relative to the elements 0.1334 eV/atom.